Record 1
GGA-PBE Pm2PuGa3Ir4, relaxed; final energy = -7.484 eV/atom; space-group type = P-4m2, No. 115
1.0
4.299 0.000 0.000
0.000 4.299 0.000
0.000 0.000 10.862
Pm Pu Ga Ir
2 1 3 4
Direct
0.000 0.500 0.222
0.500 0.000 0.778
0.000 0.000 0.500
0.000 0.500 0.881
0.500 0.000 0.119
0.500 0.500 0.500
0.000 0.000 0.000
0.000 0.500 0.650
0.500 0.000 0.350
0.500 0.500 0.000


Record 2
GGA-PBE SmHo5Er5, relaxed; final energy = -4.252 eV/atom; polymorph energy (0 for the lowest one) = 200 kJ/mol of formula units; space-group type = P-6m2, No. 187
1.0
6.028 0.000 0.000
-3.014 5.221 0.000
0.000 0.000 11.450
Sm Ho Er
1 5 5
Direct
0.000 0.000 0.000
0.002 0.501 0.500
0.499 0.501 0.500
0.499 0.998 0.500
0.667 0.333 0.264
0.667 0.333 0.736
0.000 0.000 0.324
0.000 0.000 0.676
0.333 0.667 0.158
0.333 0.667 0.842
0.667 0.333 0.000


Number 1: energy of formation from the pure elements -0.648 eV per atom. Number 2: energy of formation from the pure elements 0.332 eV per atom.